Rb2LaBiBr6 after structural relaxation, computed with PBE-GGA.

Output
The calculation puts the uncorrected formation energy at -1372 meV per atom. Its calculated volume is 472.84 Å³/cell.

```
Rb2LaBiBr6
1.0
-4.117 4.117 6.973
4.117 -4.117 6.973
4.117 4.117 -6.973
Rb La Bi Br
2 1 1 6
Direct
0.250 0.750 0.500
0.750 0.250 0.500
0.000 0.000 0.000
0.500 0.500 0.000
0.210 0.210 0.000
0.250 0.250 0.500
0.250 0.750 0.000
0.750 0.250 0.000
0.750 0.750 0.500
0.790 0.790 0.000
```

---

LaBiRhBr2 after structural relaxation, computed with PBE-GGA.

Output
The calculation puts the uncorrected formation energy at -184 meV per atom. Its calculated volume is 169.75 Å³/cell.

```
LaBiRhBr2
1.0
5.782 0.000 0.000
0.000 5.782 0.000
0.000 0.000 5.077
La Bi Rh Br
1 1 1 2
Direct
0.000 0.000 0.000
0.500 0.500 0.500
0.000 0.000 0.500
0.000 0.500 0.000
0.500 0.000 0.000
```

---

LaBiRu2Br after structural relaxation, computed with PBE-GGA.

Output
The calculation puts the uncorrected formation energy at 548 meV per atom. Its calculated volume is 123.28 Å³/cell.

```
LaBiRu2Br
1.0
4.715 0.000 0.000
0.000 4.715 0.000
0.000 0.000 5.545
La Bi Ru Br
1 1 2 1
Direct
0.000 0.000 0.000
0.500 0.500 0.000
0.000 0.500 0.500
0.500 0.000 0.500
0.000 0.000 0.500
```